# PBE+U PrPaFeO6, optimized geometry
data_PrPaFeO6
_cell_length_a 5.4215
_cell_length_b 5.4215
_cell_length_c 4.8414
_cell_angle_alpha 90.00
_cell_angle_beta 90.00
_cell_angle_gamma 120.00
_symmetry_space_group_name_H-M 'P 3 1 2'
_symmetry_Int_Tables_number 149
loop_
_symmetry_equiv_pos_as_xyz
'x,y,z'
'-y,x-y,z'
'-x+y,-x,z'
'-y,-x,-z'
'-x+y,y,-z'
'x,x-y,-z'
loop_
_atom_site_label
_atom_site_fract_x
_atom_site_fract_y
_atom_site_fract_z
_atom_site_occupancy
Pr1 0.0000 0.0000 0.0000 1
Pa1 0.6667 0.3333 0.5000 1
Fe1 0.3333 0.6667 0.0000 1
O1 0.0220 0.3914 0.2355 1
# VASP energy, eV/f.u.: -70.83